{
  "formula": "Dy3Y2Tm8",
  "functional": "GGA-PBE",
  "state": "relaxed",
  "dft_energy_ev_per_cell": -60.36,
  "formation_energy_ev_per_atom": 0.165,
  "dos_at_fermi_per_ev_fu": 21.39,
  "relative_energy_ev_per_fu": 0.00,
  "lattice_angstrom": [[-2.766, 3.369, 11.035], [2.766, -3.369, 11.035], [2.766, 3.369, -11.035]],
  "species": ["Dy", "Dy", "Dy", "Y", "Y", "Tm", "Tm", "Tm", "Tm", "Tm", "Tm", "Tm", "Tm"],
  "fractional_positions": [[0.000, 0.000, 0.000], [0.266, 0.500, 0.766], [0.734, 0.500, 0.234], [0.277, 0.777, 0.500], [0.723, 0.223, 0.500], [0.109, 0.348, 0.761], [0.184, 0.184, 0.000], [0.413, 0.652, 0.761], [0.425, 0.925, 0.500], [0.575, 0.075, 0.500], [0.587, 0.348, 0.239], [0.816, 0.816, 0.000], [0.891, 0.652, 0.239]]
}